No. 1
Ce2ZnAu2 after structural relaxation, computed with PBE.

It has space group Cmc2_1 (No. 36), with a = 4.565 Å, b = 16.481 Å, c = 5.983 Å, α = 90.00°, β = 90.00° and γ = 90.00°. The distinct sites, in fractional coordinates, are Ce at (0.000, 0.019, 0.000), Ce at (0.000, 0.215, 0.976), Zn at (0.000, 0.402, 0.768), Au at (0.000, 0.163, 0.463) and Au at (0.000, 0.400, 0.250).

As for the electronic total energy: -4.45 eV per atom. Its total moment is 0.280 μB per atom.



No. 2
Ce2ZnAu5 after structural relaxation, computed with PBE.

It has space group I4mm (No. 107), with a = 6.512 Å, b = 6.512 Å, c = 8.576 Å, α = 90.00°, β = 90.00° and γ = 90.00°. The distinct sites, in fractional coordinates, are Ce at (0.000, 0.500, 0.000), Zn at (0.000, 0.000, 0.161), Au at (0.000, 0.000, 0.481) and Au at (0.220, 0.220, 0.752).

As for the electronic total energy: -4.10 eV per atom. Its total moment is 0.269 μB per atom.



Copy entry 2 word for word.
Ce2ZnAu5 after structural relaxation, computed with PBE.

It has space group I4mm (No. 107), with a = 6.512 Å, b = 6.512 Å, c = 8.576 Å, α = 90.00°, β = 90.00° and γ = 90.00°. The distinct sites, in fractional coordinates, are Ce at (0.000, 0.500, 0.000), Zn at (0.000, 0.000, 0.161), Au at (0.000, 0.000, 0.481) and Au at (0.220, 0.220, 0.752).

As for the electronic total energy: -4.10 eV per atom. Its total moment is 0.269 μB per atom.



- The lowest total moment belongs to which entry?
  Ce2ZnAu5